Computed, not measured: crystalline UHg5 at its relaxed geometry at the PBE level of DFT.

```
12
Lattice="4.567 0.000 0.000 0.000 13.569 0.000 0.000 0.000 4.820" Properties=species:S:1:pos:R:3 pbc="T T T"
U 0.000 0.000 0.000
U 2.283 6.785 0.000
Hg 0.000 2.227 2.410
Hg 0.000 4.480 0.000
Hg 0.000 6.785 2.410
Hg 0.000 9.089 0.000
Hg 0.000 11.342 2.410
Hg 2.283 0.000 2.410
Hg 2.283 2.304 0.000
Hg 2.283 4.558 2.410
Hg 2.283 9.011 2.410
Hg 2.283 11.265 0.000
```

The total moment is 0.555 μB/atom. The calculation puts the volume at 24.889 A^3/atom. Its symmetry is Cmmm, No. 65. The calculation puts the formation energy at 130 meV per atom.